A plane-wave DFT calculation with PBE was carried out for a relaxed CsP2HCl crystal.

Summary:
space-group type	No. 123
energy above the most stable polymorph in this dataset	0	kJ/mol of formula units
density of states at the Fermi level	2.94	states/eV per cell
volume	29.02	A^3/atom

a = 4.178 Å, b = 4.178 Å, c = 8.314 Å
α = 90.00°, β = 90.00°, γ = 90.00°
Fractional positions:
Cs 0.000 0.000 0.000
P 0.000 0.500 0.500
P 0.500 0.000 0.500
H 0.500 0.500 0.500
Cl 0.500 0.500 0.000

---

A plane-wave DFT calculation with PBE was carried out for a relaxed CsPH2Cl8 crystal.

Summary:
space-group type	No. 2
E_tot	-3.099	eV per atom
density of states at the Fermi level	0.00	states/eV per cell
volume	29.20	A^3/atom

a = 6.748 Å, b = 6.905 Å, c = 7.833 Å
α = 75.80°, β = 83.18°, γ = 84.20°
Fractional positions:
Cs 0.000 0.000 0.000
P 0.000 0.500 0.500
H 0.369 0.222 0.271
H 0.631 0.778 0.729
Cl 0.081 0.528 0.752
Cl 0.187 0.216 0.528
Cl 0.253 0.661 0.368
Cl 0.450 0.202 0.116
Cl 0.550 0.798 0.884
Cl 0.747 0.339 0.632
Cl 0.813 0.784 0.472
Cl 0.919 0.472 0.248

---

A plane-wave DFT calculation with PBE was carried out for a relaxed CsP2HCl crystal.

Summary:
space-group type	No. 123
energy above the most stable polymorph in this dataset	425	kJ/mol of formula units
volume	85.13	A^3/atom

a = 8.187 Å, b = 8.187 Å, c = 6.350 Å
α = 90.00°, β = 90.00°, γ = 90.00°
Fractional positions:
Cs 0.000 0.000 0.000
P 0.000 0.500 0.000
P 0.500 0.000 0.000
H 0.500 0.500 0.500
Cl 0.000 0.000 0.500

---

A plane-wave DFT calculation with PBE was carried out for a relaxed CsPHCl2 crystal.

Summary:
space-group type	No. 123
E_tot	-2.865	eV per atom
density of states at the Fermi level	2.46	states/eV per cell
volume	23.60	A^3/atom

a = 5.789 Å, b = 5.789 Å, c = 3.521 Å
α = 90.00°, β = 90.00°, γ = 90.00°
Fractional positions:
Cs 0.000 0.000 0.000
P 0.500 0.500 0.000
H 0.500 0.500 0.500
Cl 0.000 0.500 0.500
Cl 0.500 0.000 0.500